[1]
# TaVOF2 | Alexandria via LeMat-Bulk | PBE with a Hubbard U | optimized geometry
data_TaVOF2
_chemical_formula_sum 'Ta1 V1 O1 F2'
_cell_length_a 3.6327
_cell_length_b 3.6327
_cell_length_c 5.9368
_cell_angle_alpha 90.00
_cell_angle_beta 90.00
_cell_angle_gamma 90.00
_symmetry_space_group_name_H-M 'P 4/m m m'
_symmetry_Int_Tables_number 123
_symmetry_space_group_name_Hall '-P 4 2'
loop_
_atom_site_label
_atom_site_type_symbol
_atom_site_fract_x
_atom_site_fract_y
_atom_site_fract_z
Ta1 Ta 0.0000 0.0000 0.0000
V1 V 0.0000 0.0000 0.5000
O1 O 0.5000 0.5000 0.0000
F1 F 0.0000 0.5000 0.5000
# Magnetic moment = 0.46 μB per formula unit
# Mass density = 6.06 g cm⁻³
# Distance to the lowest polymorph of the same formula = 0.3125 eV/atom

[2]
# TaVOF2 | Alexandria via LeMat-Bulk | PBE with a Hubbard U | optimized geometry
data_TaVOF2
_chemical_formula_sum 'Ta1 V1 O1 F2'
_cell_length_a 3.9770
_cell_length_b 3.9770
_cell_length_c 4.2411
_cell_angle_alpha 90.00
_cell_angle_beta 90.00
_cell_angle_gamma 90.00
_symmetry_space_group_name_H-M 'P 4/m m m'
_symmetry_Int_Tables_number 123
_symmetry_space_group_name_Hall '-P 4 2'
loop_
_atom_site_label
_atom_site_type_symbol
_atom_site_fract_x
_atom_site_fract_y
_atom_site_fract_z
Ta1 Ta 0.0000 0.0000 0.0000
V1 V 0.5000 0.5000 0.5000
O1 O 0.5000 0.5000 0.0000
F1 F 0.0000 0.5000 0.5000
# Magnetic moment = 5.92 μB per formula unit
# Mass density = 7.08 g cm⁻³
# Distance to the lowest polymorph of the same formula = 0.3621 eV/atom

[3]
# TaVOF2 | Alexandria via LeMat-Bulk | PBE with a Hubbard U | optimized geometry
data_TaVOF2
_chemical_formula_sum 'Ta1 V1 O1 F2'
_cell_length_a 4.2777
_cell_length_b 4.2777
_cell_length_c 3.9483
_cell_angle_alpha 90.00
_cell_angle_beta 90.00
_cell_angle_gamma 90.00
_symmetry_space_group_name_H-M 'P 4/m m m'
_symmetry_Int_Tables_number 123
_symmetry_space_group_name_Hall '-P 4 2'
loop_
_atom_site_label
_atom_site_type_symbol
_atom_site_fract_x
_atom_site_fract_y
_atom_site_fract_z
Ta1 Ta 0.0000 0.0000 0.0000
V1 V 0.5000 0.5000 0.5000
O1 O 0.0000 0.0000 0.5000
F1 F 0.0000 0.5000 0.0000
# Magnetic moment = 5.41 μB per formula unit
# Mass density = 6.57 g cm⁻³
# Distance to the lowest polymorph of the same formula = 0.0000 eV/atom

[4]
# Ta2WOF | Alexandria via LeMat-Bulk | PBE with a Hubbard U | optimized geometry
data_Ta2WOF
_chemical_formula_sum 'Ta2 W1 O1 F1'
_cell_length_a 4.2126
_cell_length_b 4.2126
_cell_length_c 4.2663
_cell_angle_alpha 90.00
_cell_angle_beta 90.00
_cell_angle_gamma 90.00
_symmetry_space_group_name_H-M 'P 4/m m m'
_symmetry_Int_Tables_number 123
_symmetry_space_group_name_Hall '-P 4 2'
loop_
_atom_site_label
_atom_site_type_symbol
_atom_site_fract_x
_atom_site_fract_y
_atom_site_fract_z
Ta1 Ta 0.0000 0.5000 0.0000
W1 W 0.0000 0.0000 0.5000
O1 O 0.0000 0.0000 0.0000
F1 F 0.5000 0.5000 0.5000
# Magnetic moment = 0.43 μB per formula unit
# Mass density = 12.74 g cm⁻³
# Energy = -7.431 eV per atom

The lowest magnetic moment belongs to which entry?
Ta2WOF

Look up the magnetic moment of the second one.
5.92 μB per formula unit

Look up the magnetic moment of the first one.
0.46 μB per formula unit

What is the magnetic moment in the second record?
5.92 μB per formula unit